5
Lattice="-2.827 4.221 -0.312 -1.271 -0.489 4.904 4.145 2.876 1.361" Properties=species:S:1:pos:R:3 comment="PBE-GGA BaIn2CuAu, optimized geometry" space_group="No. 123" formation_energy_ev_per_fu=-1.04 m_tot_mub_per_fu=0.00 pbc="T T T"
In -0.636 -0.244 2.452
Au 2.073 1.438 0.681
Ba 0.024 3.304 2.977
Cu 0.000 0.000 0.000
In -1.413 2.111 -0.156